1 | A crystal of Ba2CoBr relaxed with PBEsol, computed with SCAN.

Structure (CIF):
```
data_Ba2CoBr
_symmetry_space_group_name_H-M 'I m m 2'
_symmetry_Int_Tables_number 44
_cell_length_a 3.9241
_cell_length_b 3.9551
_cell_length_c 16.6567
_cell_angle_alpha 90.00
_cell_angle_beta 90.00
_cell_angle_gamma 90.00
loop_
_symmetry_equiv_pos_as_xyz
'x,y,z'
'-x,-y,z'
'-x,y,z'
'x,-y,z'
'x+1/2,y+1/2,z+1/2'
'-x+1/2,-y+1/2,z+1/2'
'-x+1/2,y+1/2,z+1/2'
'x+1/2,-y+1/2,z+1/2'
loop_
_atom_site_label
_atom_site_fract_x
_atom_site_fract_y
_atom_site_fract_z
Ba1 0.0000 0.0000 0.0000
Ba2 0.0000 0.5000 0.2167
Co1 0.0000 0.0000 0.5888
Br1 0.0000 0.5000 0.8317
```

Results
As for the total magnetization: 0.09 μB per atom. The density of states at the Fermi level is 2.90 states/eV/f.u.

2 | A crystal of Ba2CoBr relaxed with PBEsol, computed with SCAN.

Structure (CIF):
```
data_Ba2CoBr
_symmetry_space_group_name_H-M 'C 1 2/m 1'
_symmetry_Int_Tables_number 12
_cell_length_a 7.4645
_cell_length_b 4.3484
_cell_length_c 8.6560
_cell_angle_alpha 90.00
_cell_angle_beta 107.05
_cell_angle_gamma 90.00
loop_
_symmetry_equiv_pos_as_xyz
'x,y,z'
'-x,-y,-z'
'-x,y,-z'
'x,-y,z'
'x+1/2,y+1/2,z'
'-x+1/2,-y+1/2,-z'
'-x+1/2,y+1/2,-z'
'x+1/2,-y+1/2,z'
loop_
_atom_site_label
_atom_site_fract_x
_atom_site_fract_y
_atom_site_fract_z
Ba1 0.2381 0.0000 0.2167
Co1 0.0000 0.5000 0.0000
Br1 0.0000 0.0000 0.5000
```

Results
As for the total magnetization: 0.18 μB per atom. The density of states at the Fermi level is 2.32 states/eV/f.u.

3 | A crystal of Ba2CoBr relaxed with PBEsol, computed with SCAN.

Structure (CIF):
```
data_Ba2CoBr
_symmetry_space_group_name_H-M 'P 1 2/m 1'
_symmetry_Int_Tables_number 10
_cell_length_a 3.7556
_cell_length_b 3.7556
_cell_length_c 8.2405
_cell_angle_alpha 90.00
_cell_angle_beta 90.01
_cell_angle_gamma 90.00
loop_
_symmetry_equiv_pos_as_xyz
'x,y,z'
'-x,-y,-z'
'-x,y,-z'
'x,-y,z'
loop_
_atom_site_label
_atom_site_fract_x
_atom_site_fract_y
_atom_site_fract_z
Ba1 0.0017 0.0000 0.2178
Co1 0.5000 0.5000 0.0000
Br1 0.5000 0.5000 0.5000
```

Results
As for the total magnetization: 0.07 μB per atom. The density of states at the Fermi level is 1.90 states/eV/f.u.

Stability check: which of them is most stable? 3.

1 | A crystal of BaCo2Br relaxed with PBEsol, computed with SCAN.

Structure (CIF):
```
data_BaCo2Br
_symmetry_space_group_name_H-M 'P m m m'
_symmetry_Int_Tables_number 47
_cell_length_a 3.5954
_cell_length_b 4.7259
_cell_length_c 5.3688
_cell_angle_alpha 90.00
_cell_angle_beta 90.00
_cell_angle_gamma 90.00
loop_
_symmetry_equiv_pos_as_xyz
'x,y,z'
'-x,-y,-z'
'-x,-y,z'
'x,y,-z'
'x,-y,-z'
'-x,y,z'
'-x,y,-z'
'x,-y,z'
loop_
_atom_site_label
_atom_site_fract_x
_atom_site_fract_y
_atom_site_fract_z
Ba1 0.0000 0.0000 0.0000
Co1 0.0000 0.5000 0.5000
Co2 0.5000 0.0000 0.5000
Br1 0.5000 0.5000 0.0000
```

Results
As for the total magnetization: 1.09 μB per atom. The density of states at the Fermi level is 1.83 states/eV/f.u.

2 | A crystal of BaCo2Br relaxed with PBEsol, computed with SCAN.

Structure (CIF):
```
data_BaCo2Br
_symmetry_space_group_name_H-M 'I 4/m m m'
_symmetry_Int_Tables_number 139
_symmetry_space_group_name_Hall '-I 4 2'
_cell_length_a 4.1579
_cell_length_b 4.1579
_cell_length_c 11.3281
_cell_angle_alpha 90.00
_cell_angle_beta 90.00
_cell_angle_gamma 90.00
loop_
_atom_site_label
_atom_site_fract_x
_atom_site_fract_y
_atom_site_fract_z
Ba1 0.0000 0.0000 0.0000
Co1 0.0000 0.5000 0.2500
Br1 0.0000 0.0000 0.5000
```

Results
As for the total magnetization: 1.06 μB per atom. The density of states at the Fermi level is 4.16 states/eV/f.u.

Stability check: which of them is most stable? 1.

1 | A crystal of Ba2CuBr relaxed with PBEsol, computed with SCAN.

Structure (CIF):
```
data_Ba2CuBr
_symmetry_space_group_name_H-M 'R -3 m'
_symmetry_Int_Tables_number 166
_symmetry_space_group_name_Hall '-R 3 2"'
_cell_length_a 4.4837
_cell_length_b 4.4837
_cell_length_c 24.9272
_cell_angle_alpha 90.00
_cell_angle_beta 90.00
_cell_angle_gamma 120.00
loop_
_atom_site_label
_atom_site_fract_x
_atom_site_fract_y
_atom_site_fract_z
Ba1 0.0000 0.0000 0.2403
Cu1 0.0000 0.0000 0.5000
Br1 0.0000 0.0000 0.0000
```

Results
As for the total magnetization: 0.00 μB per atom. The density of states at the Fermi level is 1.10 states/eV/f.u.

2 | A crystal of Ba2CuBr relaxed with PBEsol, computed with SCAN.

Structure (CIF):
```
data_Ba2CuBr
_symmetry_space_group_name_H-M 'F m -3 m'
_symmetry_Int_Tables_number 225
_symmetry_space_group_name_Hall '-F 4 2 3'
_cell_length_a 7.9310
_cell_length_b 7.9310
_cell_length_c 7.9310
_cell_angle_alpha 90.00
_cell_angle_beta 90.00
_cell_angle_gamma 90.00
loop_
_atom_site_label
_atom_site_fract_x
_atom_site_fract_y
_atom_site_fract_z
Ba1 0.2500 0.2500 0.2500
Cu1 0.0000 0.0000 0.0000
Br1 0.0000 0.0000 0.5000
```

Results
As for the total magnetization: 0.01 μB per atom. The density of states at the Fermi level is 4.65 states/eV/f.u.

Stability check: which of them is most stable? 1.